No. 1
Entry from Alexandria via LeMat-Bulk: a relaxed Cd4InAg5 crystal (GGA-PBE).

Geometry as POSCAR:
```
Cd4InAg5
1.0
5.536 0.000 0.000
2.768 6.271 0.000
2.768 0.000 6.271
Cd Ag In
4 5 1
Direct
0.518 0.597 0.273
0.791 0.727 0.597
0.388 0.403 0.727
0.115 0.273 0.403
0.197 0.880 0.622
0.819 0.378 0.880
0.693 0.000 0.000
0.078 0.622 0.120
0.700 0.120 0.378
0.212 0.000 0.000
```

Summary:
The value obtained for the spin magnetization is 0.000 μB per formula unit. As for the total energy: -1.963 eV/atom. The calculation puts the density of states at the Fermi level at 3.0 states/eV/cell. The calculation puts the formation energy from the elements at 9.89 kJ/mol of atoms. For the offset from the most stable computed form, the calculation gives 123 kJ/mol of formula units.

***

No. 2
Entry from Alexandria via LeMat-Bulk: a relaxed Nb2Fe2Au crystal (GGA-PBE).

Geometry as POSCAR:
```
Nb2Fe2Au
1.0
-5.164 -0.641 -5.264
-2.716 -5.990 3.394
-1.762 1.664 1.526
Au Nb Fe
2 4 4
Direct
0.000 0.000 0.000
0.500 0.500 0.000
0.853 0.647 0.000
0.147 0.353 0.000
0.353 0.853 0.000
0.647 0.147 0.000
0.359 0.141 0.500
0.141 0.641 0.500
0.859 0.359 0.500
0.641 0.859 0.500
```

Summary:
The value obtained for the spin magnetization is 0.000 μB per formula unit. As for the total energy: -7.820 eV/atom. The calculation puts the density of states at the Fermi level at 7.9 states/eV/cell. The calculation puts the formation energy from the elements at 23.97 kJ/mol of atoms. For the offset from the most stable computed form, the calculation gives 142 kJ/mol of formula units.

***

No. 3
Entry from Alexandria via LeMat-Bulk: a relaxed RbTl2SiO4 crystal (GGA-PBE).

Geometry as POSCAR:
```
RbTl2SiO4
1.0
7.200 0.870 -0.286
0.865 7.200 -0.286
-4.198 -4.201 5.960
O Rb Si Tl
8 2 2 4
Direct
0.105 0.066 0.898
0.332 0.707 0.552
0.668 0.293 0.448
0.566 0.605 0.398
0.895 0.934 0.102
0.434 0.395 0.602
0.207 0.832 0.052
0.793 0.168 0.948
0.000 0.500 0.000
0.000 0.500 0.500
0.500 0.500 0.500
0.000 0.000 0.000
0.000 0.000 0.500
0.500 0.500 0.000
0.500 0.000 0.500
0.500 0.000 0.000
```

Summary:
The value obtained for the spin magnetization is 0.003 μB per formula unit. As for the total energy: -5.051 eV/atom. The calculation puts the density of states at the Fermi level at 8.3 states/eV/cell. As for the energy relative to the elements, uncorrected: -1.18 eV/atom.

***

No. 4
Entry from Alexandria via LeMat-Bulk: a relaxed KPdI3 crystal (GGA-PBE).

Geometry as POSCAR:
```
KPdI3
1.0
-6.199 4.244 2.375
-1.107 1.419 7.671
4.790 12.666 2.152
K Pd I
4 4 12
Direct
0.136 0.611 0.128
0.389 0.864 0.372
0.864 0.389 0.872
0.611 0.136 0.628
0.245 0.755 0.750
0.755 0.245 0.250
0.000 0.500 0.500
0.500 0.000 0.000
0.146 0.664 0.595
0.664 0.146 0.095
0.854 0.336 0.405
0.336 0.854 0.905
0.367 0.352 0.363
0.352 0.367 0.863
0.149 0.134 0.144
0.633 0.648 0.637
0.134 0.149 0.644
0.866 0.851 0.356
0.648 0.633 0.137
0.851 0.866 0.856
```

Summary:
The value obtained for the spin magnetization is 0.000 μB per formula unit. As for the total energy: -2.856 eV/atom. The calculation puts the density of states at the Fermi level at 7.1 states/eV/cell. As for the energy relative to the elements, uncorrected: -0.67 eV/atom.

***

No. 5
Entry from Alexandria via LeMat-Bulk: a relaxed Pm4Co3Cu crystal (GGA-PBE).

Geometry as POSCAR:
```
Pm4Co3Cu
1.0
-0.972 -2.568 2.938
3.099 1.343 2.200
-6.463 7.572 4.480
Co Pm Cu
3 4 1
Direct
0.000 0.000 0.450
0.000 0.500 0.554
0.500 0.000 0.931
0.000 0.000 0.138
0.500 0.000 0.644
0.000 0.500 0.857
0.500 0.500 0.364
0.500 0.500 0.064
```

Summary:
The value obtained for the spin magnetization is 1.294 μB per formula unit. As for the total energy: -5.652 eV/atom. The calculation puts the density of states at the Fermi level at 8.5 states/eV/cell. The calculation puts the formation energy from the elements at -9.68 kJ/mol of atoms.

***

No. 6
Entry from Alexandria via LeMat-Bulk: a relaxed Tm4CuRh crystal (GGA-PBE).

Geometry as POSCAR:
```
Tm4CuRh
1.0
-7.133 -1.996 -1.863
2.527 -1.967 6.934
0.091 7.636 -0.125
Cu Tm Rh
2 8 2
Direct
0.251 0.251 0.000
0.001 0.501 0.500
0.302 0.504 0.798
0.706 0.504 0.202
0.254 0.552 0.298
0.791 0.995 0.796
0.200 0.995 0.204
0.745 0.041 0.296
0.254 0.956 0.702
0.745 0.450 0.704
0.500 0.000 0.500
0.750 0.750 0.000
```

Summary:
The value obtained for the spin magnetization is 0.000 μB per formula unit. As for the total energy: -5.142 eV/atom. The calculation puts the density of states at the Fermi level at 12.3 states/eV/cell. The calculation puts the formation energy from the elements at -24.38 kJ/mol of atoms. For the offset from the most stable computed form, the calculation gives 105 kJ/mol of formula units.

***

No. 7
Entry from Alexandria via LeMat-Bulk: a relaxed Co crystal (GGA-PBE).

Geometry as POSCAR:
```
Co
1.0
-0.940 -1.561 2.863
0.238 -0.676 -3.317
3.329 0.098 0.648
Co
2
Direct
0.875 0.125 0.250
0.125 0.875 0.750
```

Summary:
The value obtained for the spin magnetization is 1.734 μB per formula unit. As for the total energy: -6.571 eV/atom. The calculation puts the density of states at the Fermi level at 3.0 states/eV/cell. The calculation puts the formation energy from the elements at 51.62 kJ/mol of atoms. For the offset from the most stable computed form, the calculation gives 52 kJ/mol of formula units.

***

No. 8
Entry from Alexandria via LeMat-Bulk: a relaxed HoScHg2 crystal (GGA-PBE).

Geometry as POSCAR:
```
HoScHg2
1.0
3.609 0.000 0.000
1.804 3.125 0.000
1.804 1.042 9.056
Ho Hg Sc
1 2 1
Direct
0.500 0.500 0.500
0.254 0.254 0.239
0.746 0.746 0.761
0.000 0.000 0.000
```

Summary:
The value obtained for the spin magnetization is 0.000 μB per formula unit. As for the total energy: -3.188 eV/atom. The calculation puts the density of states at the Fermi level at 3.5 states/eV/cell. The calculation puts the formation energy from the elements at -29.90 kJ/mol of atoms.

***

No. 9
Entry from Alexandria via LeMat-Bulk: a relaxed MnTcGePd crystal (GGA-PBE).

Geometry as POSCAR:
```
MnTcGePd
1.0
4.329 0.000 0.000
2.164 3.749 0.000
2.164 1.250 3.534
Pd Ge Mn Tc
1 1 1 1
Direct
0.000 0.000 0.000
0.750 0.750 0.750
0.250 0.250 0.250
0.500 0.500 0.500
```

Summary:
The value obtained for the spin magnetization is 3.907 μB per formula unit. As for the total energy: -7.482 eV/atom. The calculation puts the density of states at the Fermi level at 2.5 states/eV/cell. The calculation puts the formation energy from the elements at -14.00 kJ/mol of atoms.

***

No. 10
Entry from Alexandria via LeMat-Bulk: a relaxed TlCo2HRh crystal (GGA-PBE).

Geometry as POSCAR:
```
TlCo2HRh
1.0
-3.819 0.730 -0.051
0.044 -0.037 -3.888
-0.745 -3.896 0.028
Co Tl H Rh
2 1 1 1
Direct
0.000 0.500 0.000
0.500 0.000 0.000
0.500 0.500 0.500
0.000 0.000 0.000
0.000 0.000 0.500
```

Summary:
The value obtained for the spin magnetization is 2.849 μB per formula unit. As for the total energy: -5.236 eV/atom. The calculation puts the density of states at the Fermi level at 7.8 states/eV/cell.

***

No. 11
Entry from Alexandria via LeMat-Bulk: a relaxed PrErHgBi crystal (GGA-PBE).

Geometry as POSCAR:
```
PrErHgBi
1.0
-1.948 3.318 3.860
-5.318 1.183 0.147
-3.128 -2.002 3.989
Bi Hg Er Pr
1 1 1 1
Direct
0.250 0.250 0.250
0.750 0.750 0.750
0.000 0.000 0.000
0.500 0.500 0.500
```

Summary:
The value obtained for the spin magnetization is 0.000 μB per formula unit. As for the total energy: -3.890 eV/atom. The calculation puts the density of states at the Fermi level at 3.9 states/eV/cell. The calculation puts the formation energy from the elements at -49.09 kJ/mol of atoms.

***

No. 12
Entry from Alexandria via LeMat-Bulk: a relaxed SrOs2Pt crystal (GGA-PBE).

Geometry as POSCAR:
```
SrOs2Pt
1.0
4.655 0.000 0.000
0.000 4.655 0.000
2.328 2.328 9.193
Sr Os Pt
2 4 2
Direct
0.250 0.750 0.500
0.500 0.500 0.000
0.928 0.625 0.250
0.375 0.178 0.750
0.822 0.125 0.250
0.875 0.072 0.750
0.000 0.000 0.000
0.750 0.250 0.500
```

Summary:
The value obtained for the spin magnetization is 0.000 μB per formula unit. As for the total energy: -6.931 eV/atom. The calculation puts the density of states at the Fermi level at 8.7 states/eV/cell. The calculation puts the formation energy from the elements at 59.29 kJ/mol of atoms. For the offset from the most stable computed form, the calculation gives 134 kJ/mol of formula units.

***

Please write out number 11 again, unchanged.
Entry from Alexandria via LeMat-Bulk: a relaxed PrErHgBi crystal (GGA-PBE).

Geometry as POSCAR:
```
PrErHgBi
1.0
-1.948 3.318 3.860
-5.318 1.183 0.147
-3.128 -2.002 3.989
Bi Hg Er Pr
1 1 1 1
Direct
0.250 0.250 0.250
0.750 0.750 0.750
0.000 0.000 0.000
0.500 0.500 0.500
```

Summary:
The value obtained for the spin magnetization is 0.000 μB per formula unit. As for the total energy: -3.890 eV/atom. The calculation puts the density of states at the Fermi level at 3.9 states/eV/cell. The calculation puts the formation energy from the elements at -49.09 kJ/mol of atoms.

***

The lowest total energy belongs to which entry? Nb2Fe2Au

***

Which value of spin magnetization does entry 8 give? 0.000 μB per formula unit